(1)
VASP calculation (PBE-GGA) on a relaxed PaCrSi2 crystal.

Unit cell a=3.107 b=3.107 c=6.588 alpha=90.00 beta=90.00 gamma=90.00
Space group P4/mmm (No. 123)
Unique sites:
Pa 0.000 0.000 0.000
Cr 0.000 0.000 0.500
Si 0.500 0.500 0.312

Formation energy (no corrections)   -185.4 meV per atom
Electronic total energy   -30.7 eV per cell
Size of the total moment   1.43 μB per formula unit
DOS at the Fermi energy   5.5 states/eV per cell

(2)
VASP calculation (PBE-GGA) on a relaxed PaCrSi3 crystal.

Unit cell a=4.080 b=4.080 c=9.983 alpha=90.00 beta=90.00 gamma=90.00
Space group I4mm (No. 107)
Unique sites:
Pa 0.000 0.000 0.000
Cr 0.000 0.000 0.663
Si 0.000 0.000 0.438
Si 0.000 0.500 0.271

Formation energy (no corrections)   -330.8 meV per atom
Electronic total energy   -74.1 eV per cell
Size of the total moment   0.00 μB per formula unit
DOS at the Fermi energy   6.8 states/eV per cell

(3)
VASP calculation (PBE-GGA) on a relaxed PaCrSi2Tc crystal.

Unit cell a=4.067 b=4.067 c=10.121 alpha=90.00 beta=90.00 gamma=90.00
Space group I-4m2 (No. 119)
Unique sites:
Pa 0.000 0.000 0.000
Cr 0.000 0.500 0.750
Si 0.000 0.000 0.381
Tc 0.000 0.500 0.250

Formation energy (no corrections)   -505.7 meV per atom
Electronic total energy   -85.7 eV per cell
Size of the total moment   2.67 μB per formula unit
DOS at the Fermi energy   9.4 states/eV per cell

(4)
VASP calculation (PBE-GGA) on a relaxed PaCrSiTc crystal.

Unit cell a=6.388 b=6.388 c=6.388 alpha=90.00 beta=90.00 gamma=90.00
Space group F-43m (No. 216)
Unique sites:
Pa 0.000 0.000 0.000
Cr 0.250 0.250 0.750
Si 0.000 0.000 0.500
Tc 0.250 0.250 0.250

Formation energy (no corrections)   -172.4 meV per atom
Electronic total energy   -142.4 eV per cell
Size of the total moment   1.72 μB per formula unit
DOS at the Fermi energy   9.3 states/eV per cell

(5)
VASP calculation (PBE-GGA) on a relaxed PaCrSn crystal.

Unit cell a=3.9362 b=3.9362 c=4.8381 alpha=90.00 beta=90.00 gamma=120.00
Space group P3m1 (No. 156)
Unique sites:
Pa 0.0000 0.0000 0.0000
Cr 0.3333 0.6667 0.8323
Sn 0.6667 0.3333 0.5033

Formation energy from the elements   1.1 eV per formula unit
Electronic total energy   -22.1 eV per cell
Size of the total moment   0.00 μB per formula unit
DOS at the Fermi energy   3.9 states/eV per cell

(6)
VASP calculation (PBE-GGA) on a relaxed PaCrSn crystal.

Unit cell a=3.215 b=3.215 c=11.763 alpha=90.00 beta=90.00 gamma=90.00
Space group I4mm (No. 107)
Unique sites:
Pa 0.000 0.000 0.000
Cr 0.000 0.000 0.650
Sn 0.000 0.000 0.287

Formation energy from the elements   0.2 eV per formula unit
Electronic total energy   -45.8 eV per cell
Size of the total moment   1.01 μB per formula unit
DOS at the Fermi energy   7.2 states/eV per cell

(7)
VASP calculation (PBE-GGA) on a relaxed PaCrSn crystal.

Unit cell a=3.069 b=3.069 c=26.387 alpha=90.00 beta=90.00 gamma=90.00
Space group I4/mmm (No. 139)
Unique sites:
Pa 0.000 0.000 0.152
Cr 0.000 0.000 0.274
Sn 0.000 0.000 0.445

Formation energy from the elements   0.1 eV per formula unit
Electronic total energy   -92.0 eV per cell
Size of the total moment   0.00 μB per formula unit
DOS at the Fermi energy   16.2 states/eV per cell

(8)
VASP calculation (PBE-GGA) on a relaxed PaCrTcSn crystal.

Unit cell a=6.666 b=6.666 c=6.666 alpha=90.00 beta=90.00 gamma=90.00
Space group F-43m (No. 216)
Unique sites:
Pa 0.000 0.000 0.000
Cr 0.250 0.250 0.250
Tc 0.250 0.250 0.750
Sn 0.000 0.000 0.500

Formation energy from the elements   -0.2 eV per formula unit
Electronic total energy   -134.8 eV per cell
Size of the total moment   1.89 μB per formula unit
DOS at the Fermi energy   7.5 states/eV per cell

(9)
VASP calculation (PBE-GGA) on a relaxed PaTaCr crystal.

Unit cell a=5.395 b=8.500 c=9.449 alpha=90.00 beta=90.00 gamma=90.00
Space group Fmmm (No. 69)
Unique sites:
Pa 0.000 0.000 0.161
Ta 0.000 0.164 0.500
Cr 0.250 0.250 0.250

Formation energy from the elements   0.2 eV per formula unit
Electronic total energy   -245.9 eV per cell
Size of the total moment   0.00 μB per formula unit
DOS at the Fermi energy   33.9 states/eV per cell

(10)
VASP calculation (PBE-GGA) on a relaxed PaTaCr2 crystal.

Unit cell a=3.219 b=3.219 c=6.385 alpha=90.00 beta=90.00 gamma=90.00
Space group P4/mmm (No. 123)
Unique sites:
Pa 0.000 0.000 0.000
Ta 0.000 0.000 0.500
Cr 0.500 0.500 0.257

Formation energy from the elements   1.0 eV per formula unit
Electronic total energy   -39.6 eV per cell
Size of the total moment   0.00 μB per formula unit
DOS at the Fermi energy   5.3 states/eV per cell

(11)
VASP calculation (PBE-GGA) on a relaxed Pa2CrTc crystal.

Unit cell a=3.403 b=3.403 c=6.766 alpha=90.00 beta=90.00 gamma=90.00
Space group P4/mmm (No. 123)
Unique sites:
Pa 0.000 0.000 0.240
Cr 0.500 0.500 0.000
Tc 0.500 0.500 0.500

Formation energy from the elements   0.6 eV per formula unit
Electronic total energy   -38.4 eV per cell
Size of the total moment   0.00 μB per formula unit
DOS at the Fermi energy   6.6 states/eV per cell
Energy relative to the lowest polymorph listed for this composition   5 meV/atom

(12)
VASP calculation (PBE-GGA) on a relaxed Pa2CrTc crystal.

Unit cell a=6.817 b=6.817 c=6.817 alpha=90.00 beta=90.00 gamma=90.00
Space group Fm-3m (No. 225)
Unique sites:
Pa 0.250 0.250 0.250
Cr 0.000 0.000 0.000
Tc 0.000 0.000 0.500

Formation energy from the elements   0.6 eV per formula unit
Electronic total energy   -153.6 eV per cell
Size of the total moment   0.63 μB per formula unit
DOS at the Fermi energy   25.3 states/eV per cell
Energy relative to the lowest polymorph listed for this composition   0 meV/atom